[1]
# PBE Hg5Se3, optimized geometry
data_Hg5Se3
_chemical_formula_sum 'Hg10 Se6'
_cell_length_a 9.952
_cell_length_b 9.952
_cell_length_c 7.756
_cell_angle_alpha 101.14
_cell_angle_beta 101.14
_cell_angle_gamma 134.34
_symmetry_space_group_name_H-M 'P 1'
_symmetry_Int_Tables_number 1
_symmetry_space_group_name_Hall 'P 1'
loop_
_atom_site_label
_atom_site_fract_x
_atom_site_fract_y
_atom_site_fract_z
Hg1 0.000 0.000 0.000
Hg2 0.060 0.856 0.408
Hg3 0.145 0.567 0.203
Hg4 0.366 0.944 0.797
Hg5 0.450 0.653 0.592
Hg6 0.509 0.509 0.999
Hg7 0.567 0.145 0.203
Hg8 0.653 0.450 0.592
Hg9 0.856 0.060 0.408
Hg10 0.944 0.366 0.797
Se1 0.005 0.506 0.500
Se2 0.114 0.114 0.719
Se3 0.395 0.395 0.280
Se4 0.506 0.005 0.500
Se5 0.646 0.863 0.999
Se6 0.863 0.646 0.999
# * electronic total energy: -0.055 hartree per atom
# * formation energy (no corrections): -0.0055 eV per atom
# * crystal system: monoclinic

---

[2]
# PBE NaBiTePOs, optimized geometry
data_NaBiTePOs
_chemical_formula_sum 'Na1 Bi1 Te1 P1 Os1'
_cell_length_a 3.812
_cell_length_b 4.546
_cell_length_c 8.481
_cell_angle_alpha 85.39
_cell_angle_beta 77.04
_cell_angle_gamma 65.27
_symmetry_space_group_name_H-M 'P 1'
_symmetry_Int_Tables_number 1
_symmetry_space_group_name_Hall 'P 1'
loop_
_atom_site_label
_atom_site_fract_x
_atom_site_fract_y
_atom_site_fract_z
Na1 0.000 0.000 0.000
Bi1 0.504 0.689 0.303
Te1 0.826 0.591 0.753
P1 0.689 0.137 0.481
Os1 0.195 0.998 0.610
# * electronic total energy: -0.184 hartree per atom
# * formation energy (no corrections): -0.0156 eV per atom
# * crystal system: triclinic

---

[3]
# PBE SiGeH3, optimized geometry
data_SiGeH3
_chemical_formula_sum 'Si1 Ge1 H3'
_cell_length_a 3.704
_cell_length_b 3.704
_cell_length_c 3.704
_cell_angle_alpha 90.00
_cell_angle_beta 90.00
_cell_angle_gamma 90.00
_symmetry_space_group_name_H-M 'P 1'
_symmetry_Int_Tables_number 1
_symmetry_space_group_name_Hall 'P 1'
loop_
_atom_site_label
_atom_site_fract_x
_atom_site_fract_y
_atom_site_fract_z
Si1 0.000 0.000 0.000
Ge1 0.500 0.500 0.500
H1 0.000 0.500 0.500
H2 0.500 0.000 0.500
H3 0.500 0.500 0.000
# * electronic total energy: -0.117 hartree per atom
# * crystal system: cubic

---

Which of these has the lowest electronic total energy?
NaBiTePOs

---

What is the formula in the first record?
Hg5Se3

---

The highest electronic total energy belongs to which entry?
Hg5Se3